The following is a DFT calculation (PBE-GGA) of crystalline Ce2MgTl3 at its relaxed geometry.

The structure belongs to space group Cmmm (No. 65); the cell edges are 4.884, 14.752 and 4.570 Å and the angles 90.00°, 90.00° and 90.00°. The inequivalent atoms are Ce at (0.000, 0.166, 0.000), Mg at (0.000, 0.500, 0.000), Tl at (0.000, 0.000, 0.500) and Tl at (0.000, 0.340, 0.500).

As for the formation energy: -0.19 eV/atom. The density of states at the Fermi level is 29.05 states/eV per cell. The calculation puts the total energy at -43.407 eV per cell. The size of the total moment is 5.0 μB per cell. The calculation puts the offset from the most stable computed form at 0 meV per atom.